This record from Alexandria describes a relaxed Pd7PtAu4 crystal. The functional is PBE-GGA.

Calculated values
Space-group type ... No. 12
E above lowest polymorph ... 3.390 eV per formula unit

Cell lengths 4.890, 8.797, 5.780 Å; angles 79.71, 64.97, 73.86 degrees
Positions (direct):
Pd: 0.500 0.000 0.000
Pd: 0.208 0.072 0.513
Au: 0.750 0.676 0.824
Pt: 0.000 0.000 0.000
Au: 0.580 0.230 0.610
Pd: 0.642 0.470 0.246
Pd: 0.358 0.530 0.754
Pd: 0.792 0.928 0.487
Au: 0.420 0.770 0.390
Au: 0.250 0.324 0.176
Pd: 0.067 0.675 0.191
Pd: 0.933 0.325 0.809

This record from Alexandria describes a relaxed Pd4Pt3Au5 crystal. The functional is PBE-GGA.

Calculated values
Space-group type ... No. 12

Cell lengths 5.016, 6.197, 9.364 Å; angles 56.23, 74.46, 66.13 degrees
Positions (direct):
Au: 0.963 0.896 0.177
Pt: 0.000 0.500 0.500
Pd: 0.232 0.952 0.583
Au: 0.414 0.303 0.869
Pt: 0.653 0.956 0.737
Au: 0.500 0.500 0.500
Au: 0.037 0.104 0.823
Pd: 0.196 0.565 0.043
Au: 0.586 0.697 0.131
Pd: 0.768 0.048 0.417
Pt: 0.347 0.044 0.263
Pd: 0.804 0.435 0.957

| no. | density of states at the Fermi level (states/eV/cell) | total energy (eV/cell) |
| --- | --- | --- |
| 1 | 14.6 | -52.39 |
| 2 | 10.3 | -51.68 |